[1]
PBE Zn2SbPdF, relaxed; space-group type = No. 123; uncorrected formation energy = 0.00 eV/atom; calculated volume = 111.61 Å³/f.u.
1.0
5.154 0.000 0.000
0.000 5.154 0.000
0.000 0.000 4.201
Pd F Zn Sb
1 1 2 1
direct
0.500 0.500 0.500
0.000 0.000 0.500
0.000 0.500 0.000
0.500 0.000 0.000
0.000 0.000 0.000

[2]
PBE Zn2SbPdF, relaxed; space-group type = No. 123; uncorrected formation energy = -0.22 eV/atom; calculated volume = 100.13 Å³/f.u.
1.0
4.967 0.000 0.000
0.000 4.059 0.000
0.000 0.000 4.967
Zn Sb F Pd
2 1 1 1
direct
0.000 0.000 0.500
0.500 0.000 0.000
0.500 0.500 0.500
0.000 0.500 0.000
0.000 0.000 0.000